(1)
VASP calculation (GGA-PBE) on Pr4TmSc2 after structural relaxation.

The space group is Ibam (No. 72) and the conventional cell measures 6.717, 21.945 and 6.154 Å, with angles of 90.00, 90.00 and 90.00 degrees. The distinct sites, in fractional coordinates, are Pr at (0.098, 0.086, 0.000), Pr at (0.104, 0.366, 0.000), Tm at (0.000, 0.500, 0.250) and Sc at (0.119, 0.242, 0.500).

The calculation puts the density of states at the Fermi level at 7.92 states/eV/f.u. The calculation puts the formation energy at 1.73 eV/f.u. The calculated volume is 907.0 Å³ per cell. The value obtained for the magnetic moment is 0.00 μB per cell.



(2)
VASP calculation (GGA-PBE) on Ni7Ag after structural relaxation.

The space group is Fm-3m (No. 225) and the conventional cell measures 7.227, 7.227 and 7.227 Å, with angles of 90.00, 90.00 and 90.00 degrees. The distinct sites, in fractional coordinates, are Ni at (0.000, 0.000, 0.000), Ni at (0.000, 0.250, 0.250) and Ag at (0.000, 0.000, 0.500).

The calculation puts the density of states at the Fermi level at 12.09 states/eV/f.u. The calculation puts the formation energy at 1.25 eV/f.u. The calculated volume is 377.4 Å³ per cell. The value obtained for the magnetic moment is 19.11 μB per cell.



(3)
VASP calculation (GGA-PBE) on Y2Ho2Te5 after structural relaxation.

The space group is Cmmm (No. 65) and the conventional cell measures 6.056, 18.474 and 6.126 Å, with angles of 90.00, 90.00 and 90.00 degrees. The distinct sites, in fractional coordinates, are Y at (0.000, 0.156, 0.000), Ho at (0.000, 0.316, 0.500), Te at (0.000, 0.000, 0.000), Te at (0.000, 0.153, 0.500) and Te at (0.000, 0.331, 0.000).

The calculation puts the density of states at the Fermi level at 3.55 states/eV/f.u. The electronic total energy comes out at -97.08 eV/cell. The calculated volume is 685.4 Å³ per cell. The value obtained for the magnetic moment is 0.00 μB per cell.



(4)
VASP calculation (GGA-PBE) on ErCuSb after structural relaxation.

The space group is P3m1 (No. 156) and the conventional cell measures 4.3141, 4.3141 and 4.0749 Å, with angles of 90.00, 90.00 and 120.00 degrees. The distinct sites, in fractional coordinates, are Er at (0.0000, 0.0000, 0.0000), Cu at (0.3333, 0.6667, 0.5651) and Sb at (0.6667, 0.3333, 0.4878).

The calculation puts the density of states at the Fermi level at 1.24 states/eV/f.u. The electronic total energy comes out at -14.69 eV/cell. The calculated volume is 65.7 Å³ per cell. The value obtained for the magnetic moment is 0.00 μB per cell.